Entry 1:
DFT (PBE-GGA) results for crystalline KZr2As at its relaxed geometry.

Cell lengths 5.2292, 5.2292, 10.4407 Å; angles 75.50, 75.50, 90.00 degrees
Sites, in units of the cell vectors:
As 0.0000 0.0000 0.0000
As 0.7500 0.2500 0.5000
K 0.5000 0.5000 0.0000
K 0.2500 0.7500 0.5000
Zr 0.8473 0.1250 0.2500
Zr 0.9027 0.6250 0.2500
Zr 0.3750 0.1527 0.7500
Zr 0.8750 0.0973 0.7500

Results
* ΔE_f: 0.41 eV/atom


Entry 2:
DFT (PBE-GGA) results for crystalline KSiPb2 at its relaxed geometry.

Cell lengths 6.7638, 6.7638, 6.7638 Å; angles 149.66, 127.10, 62.21 degrees
Sites, in units of the cell vectors:
K 0.2500 0.7500 0.5000
Pb 0.9490 0.9490 0.0000
Pb 0.5510 0.5510 0.0000
Si 0.7500 0.2500 0.5000

Results
* formation energy (no corrections): 17 kJ/mol of atoms


Entry 3:
DFT (PBE-GGA) results for crystalline Tb2Ga5Ni2Ru at its relaxed geometry.

Cell lengths 4.0537, 9.0902, 9.0902 Å; angles 90.00, 90.00, 90.00 degrees
Sites, in units of the cell vectors:
Tb 0.0000 0.6847 0.1847
Tb 0.0000 0.3153 0.8153
Tb 0.0000 0.1847 0.3153
Tb 0.0000 0.8153 0.6847
Ga 0.5000 0.2024 0.0540
Ga 0.5000 0.7976 0.9460
Ga 0.5000 0.0540 0.7976
Ga 0.5000 0.7024 0.4460
Ga 0.5000 0.9460 0.2024
Ga 0.5000 0.2976 0.5540
Ga 0.5000 0.5540 0.7024
Ga 0.5000 0.4460 0.2976
Ga 0.5000 0.5000 0.0000
Ga 0.5000 0.0000 0.5000
Ni 0.0000 0.1103 0.6103
Ni 0.0000 0.8897 0.3897
Ni 0.0000 0.6103 0.8897
Ni 0.0000 0.3897 0.1103
Ru 0.0000 0.0000 0.0000
Ru 0.0000 0.5000 0.5000

Results
* ΔE_f: -0.45 eV/atom


Entry 4:
DFT (PBE-GGA) results for crystalline NaBi3N at its relaxed geometry.

Cell lengths 5.3944, 5.3944, 5.3944 Å; angles 90.00, 90.00, 90.00 degrees
Sites, in units of the cell vectors:
Na 0.0000 0.0000 0.0000
Bi 0.0000 0.5000 0.0000
Bi 0.0000 0.0000 0.5000
Bi 0.5000 0.0000 0.0000
N 0.5000 0.5000 0.5000

Results
* formation energy (no corrections): 175 kJ/mol of atoms
* E above lowest polymorph: 1.4454 eV per atom


Entry 5:
DFT (PBE-GGA) results for crystalline LiPr2Ho3Se6 at its relaxed geometry.

Cell lengths 4.1039, 8.2962, 9.2580 Å; angles 103.47, 102.81, 90.00 degrees
Sites, in units of the cell vectors:
Li 0.5000 0.0000 0.0000
Pr 0.8300 0.6590 0.6601
Pr 0.1700 0.3410 0.3399
Ho 0.5000 0.5000 0.0000
Ho 0.8323 0.1698 0.6646
Ho 0.1677 0.8302 0.3354
Se 0.3354 0.9301 0.6709
Se 0.6604 0.5940 0.3208
Se 0.6646 0.0699 0.3291
Se 0.9968 0.2468 0.9936
Se 0.0032 0.7532 0.0064
Se 0.3396 0.4060 0.6792

Results
* formation energy (no corrections): -170 kJ/mol of atoms


Entry 6:
DFT (PBE-GGA) results for crystalline Zr6Bi2O at its relaxed geometry.

Cell lengths 6.2875, 6.2405, 9.6335 Å; angles 90.00, 90.79, 90.00 degrees
Sites, in units of the cell vectors:
Zr 0.9842 0.9997 0.2504
Zr 0.7407 0.7486 0.5007
Zr 0.7518 0.7588 0.9994
Zr 0.7482 0.2588 0.5006
Zr 0.7593 0.2486 0.9993
Zr 0.5158 0.4997 0.2496
Zr 0.0158 0.0003 0.7496
Zr 0.2593 0.2514 0.4993
Zr 0.2482 0.2412 0.0006
Zr 0.2518 0.7412 0.4994
Zr 0.2407 0.7514 0.0007
Zr 0.4842 0.5003 0.7504
Bi 0.9902 0.5006 0.7503
Bi 0.5098 0.0006 0.7497
Bi 0.4902 0.9994 0.2503
Bi 0.0098 0.4994 0.2497
O 0.5000 0.5000 0.0000
O 0.0000 0.0000 0.5000

Results
* formation energy (no corrections): -63 kJ/mol of atoms